The following is a GGA-PBE calculation of crystalline LaNbSn2B at its relaxed geometry, from the Alexandria database.

Cell and atoms, written as CIF:
```
data_LaNbSn2B
_chemical_formula_sum 'La1 Nb1 Sn2 B1'
_cell_length_a 5.3412
_cell_length_b 5.3412
_cell_length_c 4.4623
_cell_angle_alpha 90.00
_cell_angle_beta 90.00
_cell_angle_gamma 90.00
_symmetry_space_group_name_H-M 'P 4/m m m'
_symmetry_Int_Tables_number 123
_symmetry_space_group_name_Hall '-P 4 2'
loop_
_atom_site_label
_atom_site_type_symbol
_atom_site_fract_x
_atom_site_fract_y
_atom_site_fract_z
La1 La 0.0000 0.0000 0.0000
Nb1 Nb 0.5000 0.5000 0.5000
Sn1 Sn 0.0000 0.5000 0.5000
B1 B 0.5000 0.5000 0.0000
```

Properties
**Energy of formation**: 0.217 eV/atom
**E_tot**: -5.719 eV/atom
**Spin magnetization**: 0.00 μB per cell

---

The following is a GGA-PBE calculation of crystalline LaTiNbB2 at its relaxed geometry, from the Alexandria database.

Cell and atoms, written as CIF:
```
data_LaTiNbB2
_chemical_formula_sum 'La1 Ti1 Nb1 B2'
_cell_length_a 4.4340
_cell_length_b 4.4340
_cell_length_c 4.5781
_cell_angle_alpha 90.00
_cell_angle_beta 90.00
_cell_angle_gamma 90.00
_symmetry_space_group_name_H-M 'P 4/m m m'
_symmetry_Int_Tables_number 123
_symmetry_space_group_name_Hall '-P 4 2'
loop_
_atom_site_label
_atom_site_type_symbol
_atom_site_fract_x
_atom_site_fract_y
_atom_site_fract_z
La1 La 0.0000 0.0000 0.0000
Ti1 Ti 0.5000 0.5000 0.5000
Nb1 Nb 0.5000 0.5000 0.0000
B1 B 0.0000 0.5000 0.5000
```

Properties
**Energy of formation**: 0.820 eV/atom
**E_tot**: -6.429 eV/atom
**Spin magnetization**: 0.00 μB per cell

---

Question: Which value of E_tot does entry 1 give?
Answer: -5.719 eV/atom